A plane-wave DFT calculation with GGA-PBE was carried out for La3Tb2Nd5 after structural relaxation.

Calculated values
Energy relative to the elements, eV/f.u.: 1.638
ρ, g/cm3: 6.8

abc: 10.206 10.148 11.337
angles: 129.03 129.14 66.13
Element x y z (fractional)
La (0.227, 0.977, 0.953)
La (0.773, 0.023, 0.047)
La (0.724, 0.467, 0.248)
La (0.276, 0.533, 0.752)
La (0.024, 0.781, 0.248)
La (0.976, 0.219, 0.752)
Tb (0.779, 0.021, 0.747)
Tb (0.221, 0.979, 0.253)
Tb (0.468, 0.726, 0.747)
Tb (0.532, 0.274, 0.253)
Nd (0.270, 0.520, 0.040)
Nd (0.730, 0.480, 0.960)
Nd (0.017, 0.767, 0.533)
Nd (0.524, 0.274, 0.548)
Nd (0.983, 0.233, 0.467)
Nd (0.476, 0.726, 0.452)
Nd (0.859, 0.617, 0.745)
Nd (0.141, 0.383, 0.255)
Nd (0.385, 0.128, 0.745)
Nd (0.615, 0.872, 0.255)



A plane-wave DFT calculation with GGA-PBE was carried out for LaTb7Nd12 after structural relaxation.

Calculated values
Energy relative to the elements, eV/f.u.: 12.852
ρ, g/cm3: 6.3

abc: 10.073 10.073 10.073
angles: 109.47 109.47 109.47
Element x y z (fractional)
La (0.000, 0.000, 0.000)
Tb (0.500, 0.500, 0.000)
Tb (0.000, 0.500, 0.500)
Tb (0.500, 0.000, 0.500)
Tb (0.500, 0.500, 0.500)
Tb (0.000, 0.000, 0.500)
Tb (0.500, 0.000, 0.000)
Tb (0.000, 0.500, 0.000)
Nd (0.491, 0.745, 0.745)
Nd (0.000, 0.745, 0.255)
Nd (0.509, 0.255, 0.255)
Nd (0.000, 0.255, 0.745)
Nd (0.745, 0.000, 0.255)
Nd (0.745, 0.491, 0.745)
Nd (0.255, 0.000, 0.745)
Nd (0.255, 0.509, 0.255)
Nd (0.745, 0.745, 0.491)
Nd (0.255, 0.255, 0.509)
Nd (0.745, 0.255, 0.000)
Nd (0.255, 0.745, 0.000)



A plane-wave DFT calculation with GGA-PBE was carried out for La3Tb6Nd after structural relaxation.

Calculated values
Energy relative to the elements, eV/f.u.: 1.454
ρ, g/cm3: 7.4

abc: 6.400 11.120 11.120
angles: 120.19 90.00 90.00
Element x y z (fractional)
La (0.465, 0.939, 0.710)
La (0.965, 0.710, 0.939)
La (0.073, 0.388, 0.612)
La (0.573, 0.612, 0.388)
La (0.965, 0.061, 0.290)
La (0.465, 0.290, 0.061)
Tb (0.048, 0.714, 0.623)
Tb (0.548, 0.623, 0.714)
Tb (0.373, 0.530, 0.950)
Tb (0.873, 0.950, 0.530)
Tb (0.371, 0.963, 0.037)
Tb (0.647, 0.276, 0.724)
Tb (0.147, 0.724, 0.276)
Tb (0.871, 0.037, 0.963)
Tb (0.373, 0.050, 0.470)
Tb (0.873, 0.470, 0.050)
Tb (0.048, 0.377, 0.286)
Tb (0.548, 0.286, 0.377)
Nd (0.123, 0.192, 0.808)
Nd (0.623, 0.808, 0.192)



A plane-wave DFT calculation with GGA-PBE was carried out for La5Tb6Nd2 after structural relaxation.

Calculated values
Energy relative to the elements, eV/f.u.: 1.163
ρ, g/cm3: 7.1

abc: 3.655 11.849 20.905
angles: 90.00 90.00 90.00
Element x y z (fractional)
La (0.500, 0.299, 0.451)
La (0.500, 0.701, 0.549)
La (0.500, 0.799, 0.049)
La (0.500, 0.201, 0.951)
La (0.500, 0.578, 0.276)
La (0.500, 0.422, 0.724)
La (0.500, 0.078, 0.224)
La (0.500, 0.922, 0.776)
La (0.500, 0.500, 0.000)
La (0.500, 0.000, 0.500)
Tb (0.000, 0.077, 0.367)
Tb (0.000, 0.923, 0.633)
Tb (0.000, 0.577, 0.133)
Tb (0.000, 0.423, 0.867)
Tb (0.500, 0.320, 0.134)
Tb (0.500, 0.680, 0.866)
Tb (0.500, 0.820, 0.366)
Tb (0.500, 0.180, 0.634)
Tb (0.000, 0.561, 0.422)
Tb (0.000, 0.439, 0.578)
Tb (0.000, 0.061, 0.078)
Tb (0.000, 0.939, 0.922)
Nd (0.000, 0.323, 0.286)
Nd (0.000, 0.677, 0.714)
Nd (0.000, 0.823, 0.214)
Nd (0.000, 0.177, 0.786)